FeCoAgF6: relaxed, PBE+U.

Theoretical density   4.28 g cm⁻³
Final energy   -0.172 hartree per atom
Total moment   16.00 μB/cell

abc: 5.3833 5.3833 10.3984
angles: 90.00 90.00 120.00
With the nearest neighbours (Å) after each atom.
Element x y z (fractional)
1 Fe 0.3333 0.6667 0.2500  6 F 1.97
2 Fe 0.6667 0.3333 0.7500  6 F 1.97
3 Co 0.3333 0.6667 0.7500  6 F 2.06
4 Co 0.6667 0.3333 0.2500  6 F 2.06
5 Ag 0.0000 0.0000 0.0000  6 F 2.51
6 Ag 0.0000 0.0000 0.5000  6 F 2.51
7 F 0.0129 0.3781 0.1459  1 Fe 1.97, 1 Co 2.06
8 F 0.0129 0.6347 0.3541  1 Fe 1.97, 1 Co 2.06
9 F 0.3653 0.3781 0.3541  1 Fe 1.97, 1 Co 2.06
10 F 0.3653 0.9871 0.1459  1 Fe 1.97, 1 Co 2.06
11 F 0.3781 0.0129 0.6459  1 Fe 1.97, 1 Co 2.06
12 F 0.3781 0.3653 0.8541  1 Fe 1.97, 1 Co 2.06
13 F 0.6219 0.6347 0.1459  1 Fe 1.97, 1 Co 2.06
14 F 0.6219 0.9871 0.3541  1 Fe 1.97, 1 Co 2.06
15 F 0.6347 0.0129 0.8541  1 Fe 1.97, 1 Co 2.06
16 F 0.6347 0.6219 0.6459  1 Fe 1.97, 1 Co 2.06
17 F 0.9871 0.3653 0.6459  1 Fe 1.97, 1 Co 2.06
18 F 0.9871 0.6219 0.8541  1 Fe 1.97, 1 Co 2.06